Entry 1:
A relaxed YPbSCl2 crystal, computed with GGA-PBE.

```
YPbSCl2
1.0
-0.6257 1.6980 4.8838
2.2500 -4.3398 1.7972
4.9823 2.4890 -0.2271
S Cl Y Pb
1 2 1 1
Cartesian
2.4911 1.2445 -0.1135
-0.3128 0.8490 2.4419
1.1250 -2.1699 0.8986
0.0000 0.0000 0.0000
3.3033 -0.0764 3.2269
```

## Properties
E above lowest polymorph (eV per atom): 0.000
DOS(E_F) (states/eV/f.u.): 2.1
Formation energy (no corrections) (meV/atom): -1233


Entry 2:
A relaxed ZrBi2As2 crystal, computed with GGA-PBE.

```
ZrBi2As2
1.0
7.5205 0.0000 0.0000
0.0000 7.5205 0.0000
0.0000 0.0000 4.4748
Bi As Zr
4 4 2
Cartesian
2.5394 1.2209 2.2374
4.9811 6.2997 2.2374
1.2209 4.9811 2.2374
6.2997 2.5394 2.2374
2.5127 6.2729 0.0000
5.0078 1.2476 0.0000
1.2476 2.5127 0.0000
6.2729 5.0078 0.0000
0.0000 0.0000 0.0000
3.7603 3.7603 0.0000
```

## Properties
Calculated formation energy (eV per atom): -0.1493
DOS(E_F) (states/eV/f.u.): 2.4